# 1
First-principles (GGA-PBE) data for a relaxed structure of Cs2PuRhSe4, as listed in the Alexandria database. Values from VASP.

The structure in Quantum ESPRESSO input format:
```
&SYSTEM
  ibrav = 0, nat = 16, ntyp = 4
/
ATOMIC_SPECIES
Cs 132.91 Cs.upf
Se 78.96 Se.upf
Pu 244.00 Pu.upf
Rh 102.91 Rh.upf
ATOMIC_POSITIONS crystal
Cs 0.821 0.000 0.357
Cs 0.571 0.500 0.857
Cs 0.179 0.000 0.643
Cs 0.929 0.500 0.143
Se 0.228 0.203 0.902
Se 0.522 0.297 0.598
Se 0.870 0.797 0.902
Se 0.880 0.703 0.598
Se 0.334 0.797 0.098
Se 0.569 0.203 0.098
Se 0.181 0.297 0.402
Se 0.416 0.703 0.402
Pu 0.000 0.000 0.000
Pu 0.750 0.500 0.500
Rh 0.250 0.500 0.500
Rh 0.500 0.000 0.000
CELL_PARAMETERS angstrom
6.687 0.000 0.000
3.343 7.239 0.000
3.343 0.000 13.116
```

Summary:
DOS at the Fermi energy	24.1	states/eV/cell
energy relative to the elements, uncorrected	-0.817	eV/atom

---

# 2
First-principles (GGA-PBE) data for a relaxed structure of Cs3Pu3RuS8, as listed in the Alexandria database. Values from VASP.

The structure in Quantum ESPRESSO input format:
```
&SYSTEM
  ibrav = 0, nat = 15, ntyp = 4
/
ATOMIC_SPECIES
Pu 244.00 Pu.upf
Cs 132.91 Cs.upf
S 32.06 S.upf
Ru 101.07 Ru.upf
ATOMIC_POSITIONS crystal
Pu 0.000 0.500 0.500
Pu 0.500 0.000 0.500
Pu 0.500 0.500 0.500
Cs 0.000 0.500 0.000
Cs 0.000 0.000 0.000
Cs 0.500 0.500 0.000
S 0.790 0.580 0.332
S 0.748 0.958 0.668
S 0.728 0.455 0.683
S 0.210 0.420 0.668
S 0.790 0.042 0.332
S 0.252 0.042 0.332
S 0.210 0.958 0.668
S 0.272 0.545 0.317
Ru 0.000 0.000 0.500
CELL_PARAMETERS angstrom
-6.616 -0.811 -4.171
1.332 -4.647 6.201
-2.434 8.821 2.146
```

Summary:
DOS at the Fermi energy	27.9	states/eV/cell
energy relative to the elements, uncorrected	-1.268	eV/atom

---

# 3
First-principles (GGA-PBE) data for a relaxed structure of CsPu4S6, as listed in the Alexandria database. Values from VASP.

The structure in Quantum ESPRESSO input format:
```
&SYSTEM
  ibrav = 0, nat = 11, ntyp = 3
/
ATOMIC_SPECIES
Pu 244.00 Pu.upf
S 32.06 S.upf
Cs 132.91 Cs.upf
ATOMIC_POSITIONS crystal
Pu 0.380 0.798 0.798
Pu 0.000 0.202 0.582
Pu 0.000 0.582 0.202
Pu 0.620 0.418 0.418
S 0.312 0.478 0.478
S 0.000 0.834 0.522
S 0.500 0.000 0.500
S 0.000 0.522 0.834
S 0.688 0.166 0.166
S 0.500 0.500 0.000
Cs 0.000 0.000 0.000
CELL_PARAMETERS angstrom
7.358 -0.011 -0.017
-3.412 6.519 0.017
-3.412 -2.381 6.068
```

Summary:
DOS at the Fermi energy	35.2	states/eV/cell
polymorph energy (0 for the lowest one)	0.244	eV/atom
energy relative to the elements, uncorrected	-1.318	eV/atom

---

# 4
First-principles (GGA-PBE) data for a relaxed structure of CsPuS2, as listed in the Alexandria database. Values from VASP.

The structure in Quantum ESPRESSO input format:
```
&SYSTEM
  ibrav = 0, nat = 4, ntyp = 3
/
ATOMIC_SPECIES
S 32.06 S.upf
Pu 244.00 Pu.upf
Cs 132.91 Cs.upf
ATOMIC_POSITIONS crystal
S 0.000 0.000 0.810
S 0.000 0.000 0.190
Pu 0.500 0.500 0.000
Cs 0.500 0.500 0.500
CELL_PARAMETERS angstrom
3.582 0.000 0.000
0.000 3.582 0.000
0.000 0.000 8.138
```

Summary:
DOS at the Fermi energy	7.3	states/eV/cell
energy relative to the elements, uncorrected	-1.334	eV/atom

---

> The highest DOS at the Fermi energy belongs to which entry?

CsPu4S6

---

> Among the records above, which one has the highest DOS at the Fermi energy?

CsPu4S6

---

> Look up the energy relative to the elements, uncorrected of the second one.

-1.268 eV/atom

---

> Which value of energy relative to the elements, uncorrected does entry 3 give?

-1.318 eV/atom